Entry from the Alexandria database: VRu3F after structural relaxation (PBE+U).

Size of the total moment (μB/cell): 4.3
DFT total energy (eV per atom): -5.7965
Theoretical density (g cm⁻³): 6.47

Unit cell a=4.576 b=4.576 c=4.576 alpha=90.00 beta=90.00 gamma=90.00
Space group Pm-3m (No. 221)
Asymmetric unit:
V (0.000, 0.000, 0.000) x1
Ru (0.000, 0.000, 0.500) x3
F (0.500, 0.500, 0.500) x1